Record 1
CaPdW2 | PBE-GGA | optimized geometry

calculated total energy	-7.530	eV/atom
space group	I-42d, No. 122
calculated formation energy	0.7453	eV/atom

Cell: 11.199 11.199 11.199 Å, 160.63 160.63 27.52°
Atoms (fractional coordinates):
Ca 0.000 0.000 0.000
Ca 0.750 0.250 0.500
Pd 0.250 0.750 0.500
Pd 0.500 0.500 0.000
W 0.136 0.625 0.011
W 0.375 0.386 0.511
W 0.614 0.125 0.989
W 0.875 0.864 0.489

=====

Record 2
Li2NbTcO6 | PBE-GGA | optimized geometry

energy relative to the elements, uncorrected	-1.94	eV per atom
calculated total energy	-7.346	eV/atom
space group	P4mm, No. 99

Cell: 5.625 5.625 3.904 Å, 90.00 90.00 90.00°
Atoms (fractional coordinates):
Li 0.000 0.500 0.000
Li 0.500 0.000 0.000
Nb 0.000 0.000 0.802
Tc 0.500 0.500 0.830
O 0.000 0.000 0.323
O 0.253 0.253 0.843
O 0.253 0.747 0.843
O 0.500 0.500 0.340
O 0.747 0.253 0.843
O 0.747 0.747 0.843

=====

Record 3
Tl3H6Au | PBE-GGA | optimized geometry

calculated total energy	-2.681	eV/atom
space group	Cmc2_1, No. 36

Cell: 7.792 7.792 5.243 Å, 90.00 90.00 105.77°
Atoms (fractional coordinates):
Tl 0.114 0.886 0.500
Tl 0.183 0.415 0.511
Tl 0.415 0.183 0.011
Tl 0.585 0.817 0.511
Tl 0.817 0.585 0.011
Tl 0.886 0.114 0.000
H 0.049 0.666 0.685
H 0.118 0.178 0.835
H 0.178 0.118 0.335
H 0.202 0.798 0.143
H 0.334 0.951 0.685
H 0.459 0.541 0.961
H 0.541 0.459 0.461
H 0.666 0.049 0.185
H 0.798 0.202 0.643
H 0.822 0.882 0.835
H 0.882 0.822 0.335
H 0.951 0.334 0.185
Au 0.333 0.667 0.054
Au 0.667 0.333 0.554

=====

Record 4
Pm2NdSn2 | PBE-GGA | optimized geometry

calculated total energy	-4.870	eV/atom
space group	Imma, No. 74
calculated formation energy	-0.4152	eV/atom

Cell: 8.196 8.196 8.196 Å, 136.16 113.12 83.46°
Atoms (fractional coordinates):
Pm 0.222 0.138 0.085
Pm 0.447 0.862 0.585
Pm 0.553 0.138 0.415
Pm 0.778 0.862 0.915
Nd 0.120 0.370 0.750
Nd 0.880 0.630 0.250
Sn 0.147 0.897 0.250
Sn 0.380 0.630 0.750
Sn 0.620 0.370 0.250
Sn 0.853 0.103 0.750

=====

Record 5
PmPr6Y2Er3 | PBE-GGA | optimized geometry

calculated total energy	-4.992	eV/atom
space group	C2/m, No. 12
calculated formation energy	0.0115	eV/atom

Cell: 6.318 6.318 11.914 Å, 95.06 95.06 120.00°
Atoms (fractional coordinates):
Pm 0.000 0.000 0.000
Pr 0.085 0.418 0.253
Pr 0.249 0.249 0.747
Pr 0.418 0.085 0.253
Pr 0.582 0.915 0.747
Pr 0.751 0.751 0.253
Pr 0.915 0.582 0.747
Y 0.333 0.667 0.000
Y 0.667 0.333 0.000
Er 0.167 0.833 0.500
Er 0.500 0.500 0.500
Er 0.833 0.167 0.500

=====

Record 6
Y4Er2Sc3 | PBE-GGA | optimized geometry

calculated total energy	-5.885	eV/atom
space group	C2/c, No. 15
calculated formation energy	0.1121	eV/atom

Cell: 9.995 9.995 5.695 Å, 95.82 95.82 68.60°
Atoms (fractional coordinates):
Y 0.043 0.826 0.960
Y 0.164 0.378 0.121
Y 0.174 0.957 0.540
Y 0.378 0.164 0.621
Y 0.622 0.836 0.379
Y 0.826 0.043 0.460
Y 0.836 0.622 0.879
Y 0.957 0.174 0.040
Er 0.291 0.506 0.705
Er 0.494 0.709 0.795
Er 0.506 0.291 0.205
Er 0.709 0.494 0.295
Sc 0.015 0.322 0.580
Sc 0.322 0.015 0.080
Sc 0.350 0.650 0.250
Sc 0.650 0.350 0.750
Sc 0.678 0.985 0.920
Sc 0.985 0.678 0.420

=====

Among the records above, which one has the highest calculated total energy?
Tl3H6Au

=====

Number 5 is which compound?
PmPr6Y2Er3